Computed, not measured: a geometry-optimized BaAsPt2 structure at the PBE level of DFT.

Summary:
Magnetic moment = 0.0 μB per formula unit
Calculated formation energy = -0.71 eV per atom

a b c (Å): 4.9570 4.9570 5.6813
angles (deg): 105.85 105.85 48.31
Fractional coordinates of all 4 atoms:
Ba1 0.0000 0.0000 0.0000
As1 0.2129 0.2129 0.5906
Pt1 0.4984 0.4984 0.4724
Pt2 0.7901 0.7901 0.4132

---

Computed, not measured: a geometry-optimized Hg6SbPb12 structure at the PBE level of DFT.

Summary:
Magnetic moment = 0.0 μB per formula unit
E_form (uncorrected) = 0.0709 eV/atom

a b c (Å): 9.1165 9.1165 9.1165
angles (deg): 108.47 108.47 108.47
Fractional coordinates of all 19 atoms:
Hg1 0.2111 0.4988 0.7876
Hg2 0.2124 0.7889 0.5012
Hg3 0.4988 0.7876 0.2111
Hg4 0.5012 0.2124 0.7889
Hg5 0.7876 0.2111 0.4988
Hg6 0.7889 0.5012 0.2124
Sb1 0.5000 0.5000 0.5000
Pb1 0.0363 0.0364 0.6924
Pb2 0.0364 0.6924 0.0363
Pb3 0.1030 0.3774 0.3771
Pb4 0.3076 0.9637 0.9636
Pb5 0.3771 0.1030 0.3774
Pb6 0.3774 0.3771 0.1030
Pb7 0.6226 0.6229 0.8970
Pb8 0.6229 0.8970 0.6226
Pb9 0.6924 0.0363 0.0364
Pb10 0.8970 0.6226 0.6229
Pb11 0.9636 0.3076 0.9637
Pb12 0.9637 0.9636 0.3076

---

Computed, not measured: a geometry-optimized SrIr2Rh structure at the PBE level of DFT.

Summary:
Magnetic moment = 0.0 μB per formula unit
Calculated formation energy = 0.24 eV per atom
Offset from the most stable computed form = 4.6 kJ/mol of atoms

a b c (Å): 4.9070 4.9070 5.6260
angles (deg): 98.92 98.92 33.95
Fractional coordinates of all 4 atoms:
Sr1 0.0000 0.0000 0.0000
Ir1 0.2384 0.2384 0.6842
Ir2 0.7616 0.7616 0.3158
Rh1 0.5000 0.5000 0.5000

---

| no. | density (g cm⁻³) |
| --- | --- |
| 1 | 10.1 |
| 2 | 10.5 |
| 3 | 12.8 |